This record from Alexandria describes an optimized crystal structure of MgTeIN2. The functional is PBE.

E above lowest polymorph ... 0.0000 eV/atom
Total energy ... -3.46 eV/atom

Cell and atoms, written as extended XYZ:
```
5
Lattice="4.122 0.000 0.000 0.000 4.122 0.000 0.000 0.000 7.351" Properties=species:S:1:pos:R:3 pbc="T T T"
I 0.000 0.000 3.675
Mg 2.061 2.061 3.675
Te 0.000 0.000 0.000
N 0.000 2.061 0.000
N 2.061 0.000 0.000
```